Entry from the Alexandria database: crystalline CaAlZn at its relaxed geometry (GGA-PBEsol).

## Properties
As for the space group: P-6m2 (187). The total energy is -2.876 eV per atom. The density of states at the Fermi level is 0.4546 states/eV per atom. The calculation puts the theoretical density at 3.5 g cm⁻³. The calculation puts the energy of formation at -0.273 eV/atom.

abc: 3.538 4.540 4.540
angles: 120.00 90.00 90.00
Positions (direct):
Ca 0.000 0.333 0.667
Zn 0.500 0.667 0.333
Al 0.500 0.000 0.000


Entry from the Alexandria database: crystalline CaAlZn2 at its relaxed geometry (GGA-PBEsol).

## Properties
As for the space group: P4/mmm (123). The total energy is -2.456 eV per atom. The density of states at the Fermi level is 0.5609 states/eV per atom. The calculation puts the theoretical density at 4.4 g cm⁻³. The calculation puts the energy of formation at -0.109 eV/atom.

abc: 3.266 3.266 7.025
angles: 90.00 90.00 90.00
Positions (direct):
Ca 0.500 0.500 0.500
Al 0.500 0.500 0.000
Zn 0.000 0.000 0.794
Zn 0.000 0.000 0.206


Going through the records in order, we get M_tot values of 0.000 0.000 μB/cell.